# 1
A relaxed La2Ni2Pt crystal, computed with PBE-GGA.

## Properties
E above lowest polymorph: 58 kJ/mol of formula units
Density of states at the Fermi level: 12.07 states/eV/cell
Raw total energy: -5.954 eV per atom
Calculated volume: 213.02 Å³/cell

a = 3.621 Å, b = 3.621 Å, c = 16.247 Å
α = 90.00°, β = 90.00°, γ = 90.00°
Space group I4/mmm (No. 139)
Unique sites:
La (0.000, 0.000, 0.113) [4 per cell]
Ni (0.000, 0.500, 0.250) [4 per cell]
Pt (0.000, 0.000, 0.500) [2 per cell]



# 2
A relaxed LaNiPt2 crystal, computed with PBE-GGA.

## Properties
Density of states at the Fermi level: 12.12 states/eV/cell
Raw total energy: -5.649 eV per atom
Calculated volume: 213.78 Å³/cell

a = 2.9761 Å, b = 2.9761 Å, c = 27.8701 Å
α = 90.00°, β = 90.00°, γ = 120.00°
Space group R-3m (No. 166, hexagonal axes)
Unique sites:
La (0.0000, 0.0000, 0.0000) [3 per cell]
Ni (0.0000, 0.0000, 0.5000) [3 per cell]
Pt (0.0000, 0.0000, 0.2377) [6 per cell]



# 3
A relaxed La2NiSb3Pt4 crystal, computed with PBE-GGA.

## Properties
Density of states at the Fermi level: 8.04 states/eV/cell
Formation energy from raw total energies: -0.82 eV per atom
Raw total energy: -6.035 eV per atom
Calculated volume: 218.92 Å³/cell

a = 4.556 Å, b = 4.556 Å, c = 10.547 Å
α = 90.00°, β = 90.00°, γ = 90.00°
Space group P-4m2 (No. 115)
Unique sites:
La (0.000, 0.500, 0.245) [2 per cell]
Ni (0.500, 0.500, 0.000) [1 per cell]
Sb (0.000, 0.000, 0.000) [1 per cell]
Sb (0.000, 0.500, 0.634) [2 per cell]
Pt (0.000, 0.000, 0.500) [1 per cell]
Pt (0.000, 0.500, 0.880) [2 per cell]
Pt (0.500, 0.500, 0.500) [1 per cell]



# 4
A relaxed La2Ni4Sb3Pt crystal, computed with PBE-GGA.

## Properties
Density of states at the Fermi level: 8.94 states/eV/cell
Formation energy from raw total energies: -0.69 eV per atom
Raw total energy: -5.824 eV per atom
Calculated volume: 197.36 Å³/cell

a = 4.382 Å, b = 4.382 Å, c = 10.278 Å
α = 90.00°, β = 90.00°, γ = 90.00°
Space group P-4m2 (No. 115)
Unique sites:
La (0.000, 0.500, 0.248) [2 per cell]
Ni (0.000, 0.000, 0.500) [1 per cell]
Ni (0.000, 0.500, 0.871) [2 per cell]
Ni (0.500, 0.500, 0.500) [1 per cell]
Sb (0.000, 0.000, 0.000) [1 per cell]
Sb (0.000, 0.500, 0.628) [2 per cell]
Pt (0.500, 0.500, 0.000) [1 per cell]



# 5
A relaxed La2Ni3Sb4Pt crystal, computed with PBE-GGA.

## Properties
Density of states at the Fermi level: 4.22 states/eV/cell
Formation energy from raw total energies: -0.75 eV per atom
Raw total energy: -5.726 eV per atom
Calculated volume: 212.16 Å³/cell

a = 4.583 Å, b = 4.583 Å, c = 10.102 Å
α = 90.00°, β = 90.00°, γ = 90.00°
Space group P-4m2 (No. 115)
Unique sites:
La (0.000, 0.500, 0.244) [2 per cell]
Ni (0.000, 0.000, 0.000) [1 per cell]
Ni (0.000, 0.500, 0.617) [2 per cell]
Sb (0.000, 0.000, 0.500) [1 per cell]
Sb (0.000, 0.500, 0.865) [2 per cell]
Sb (0.500, 0.500, 0.500) [1 per cell]
Pt (0.500, 0.500, 0.000) [1 per cell]



# 6
A relaxed La2NiSb4Pt3 crystal, computed with PBE-GGA.

## Properties
Density of states at the Fermi level: 3.80 states/eV/cell
Formation energy from raw total energies: -0.85 eV per atom
Raw total energy: -5.870 eV per atom
Calculated volume: 228.72 Å³/cell

a = 4.649 Å, b = 4.649 Å, c = 10.584 Å
α = 90.00°, β = 90.00°, γ = 90.00°
Space group P-4m2 (No. 115)
Unique sites:
La (0.000, 0.500, 0.235) [2 per cell]
Ni (0.500, 0.500, 0.000) [1 per cell]
Sb (0.000, 0.000, 0.500) [1 per cell]
Sb (0.000, 0.500, 0.878) [2 per cell]
Sb (0.500, 0.500, 0.500) [1 per cell]
Pt (0.000, 0.000, 0.000) [1 per cell]
Pt (0.000, 0.500, 0.630) [2 per cell]



# 7
A relaxed LaScNiPt crystal, computed with PBE-GGA.

## Properties
Density of states at the Fermi level: 18.65 states/eV/cell
Raw total energy: -6.418 eV per atom
Calculated volume: 329.58 Å³/cell

a = 6.907 Å, b = 6.907 Å, c = 6.907 Å
α = 90.00°, β = 90.00°, γ = 90.00°
Space group F-43m (No. 216)
Unique sites:
La (0.000, 0.000, 0.000) [4 per cell]
Sc (0.000, 0.000, 0.500) [4 per cell]
Ni (0.250, 0.250, 0.250) [4 per cell]
Pt (0.250, 0.250, 0.750) [4 per cell]



# 8
A relaxed LaSiNiPt6 crystal, computed with PBE-GGA.

## Properties
Density of states at the Fermi level: 23.38 states/eV/cell
Formation energy from raw total energies: -0.35 eV per atom
Raw total energy: -6.174 eV per atom
Calculated volume: 708.63 Å³/cell

a = 7.418 Å, b = 8.472 Å, c = 11.275 Å
α = 90.00°, β = 90.00°, γ = 90.00°
Space group Imma (No. 74)
Unique sites:
La (0.000, 0.250, 0.142) [4 per cell]
Si (0.000, 0.000, 0.500) [4 per cell]
Ni (0.250, 0.250, 0.750) [4 per cell]
Pt (0.000, 0.250, 0.403) [4 per cell]
Pt (0.000, 0.250, 0.886) [4 per cell]
Pt (0.248, 0.013, 0.625) [16 per cell]



What did the fourth record say?
A relaxed La2Ni4Sb3Pt crystal, computed with PBE-GGA.

## Properties
Density of states at the Fermi level: 8.94 states/eV/cell
Formation energy from raw total energies: -0.69 eV per atom
Raw total energy: -5.824 eV per atom
Calculated volume: 197.36 Å³/cell

a = 4.382 Å, b = 4.382 Å, c = 10.278 Å
α = 90.00°, β = 90.00°, γ = 90.00°
Space group P-4m2 (No. 115)
Unique sites:
La (0.000, 0.500, 0.248) [2 per cell]
Ni (0.000, 0.000, 0.500) [1 per cell]
Ni (0.000, 0.500, 0.871) [2 per cell]
Ni (0.500, 0.500, 0.500) [1 per cell]
Sb (0.000, 0.000, 0.000) [1 per cell]
Sb (0.000, 0.500, 0.628) [2 per cell]
Pt (0.500, 0.500, 0.000) [1 per cell]